Compound: PrHfNi2
Source: OQMD via LeMat-Bulk
Functional: PBE
Structure: optimized geometry

```
PrHfNi2
1.0
4.247 0.000 0.000
0.000 1.750 5.112
0.000 -1.750 5.112
Pr Hf Ni
1 1 2
direct
0.000 0.000 0.000
0.500 0.724 0.724
0.000 0.270 0.270
0.500 0.421 0.421
```

The spin magnetization comes out at 0.000 μB/atom. As for the energy of formation: -0.2863 eV per atom. The total DFT energy (no corrections) comes out at -6.753 eV per atom.

=====

Compound: PrHfNi
Source: OQMD via LeMat-Bulk
Functional: PBE
Structure: optimized geometry

```
PrHfNi
1.0
0.000 3.284 3.284
3.284 0.000 3.284
3.284 3.284 0.000
Pr Hf Ni
1 1 1
direct
0.000 0.000 0.000
0.500 0.500 0.500
0.750 0.750 0.750
```

The spin magnetization comes out at 0.001 μB/atom. As for the energy of formation: 0.1801 eV per atom. The total DFT energy (no corrections) comes out at -6.586 eV per atom.

=====

Compound: HfNiPt2
Source: OQMD via LeMat-Bulk
Functional: PBE
Structure: optimized geometry

```
HfNiPt2
1.0
0.000 3.157 3.157
3.157 0.000 3.157
3.157 3.157 0.000
Hf Ni Pt
1 1 2
direct
0.000 0.000 0.000
0.250 0.250 0.250
0.500 0.500 0.500
0.750 0.750 0.750
```

The spin magnetization comes out at 0.000 μB/atom. As for the energy of formation: -0.6529 eV per atom. The total DFT energy (no corrections) comes out at -7.562 eV per atom.

=====

Compound: HfNiPt
Source: OQMD via LeMat-Bulk
Functional: PBE
Structure: optimized geometry

```
HfNiPt
1.0
0.000 3.040 3.040
3.040 0.000 3.040
3.040 3.040 0.000
Hf Ni Pt
1 1 1
direct
0.000 0.000 0.000
0.750 0.750 0.750
0.250 0.250 0.250
```

The offset from the most stable computed form comes out at 17.3 kJ per mole of atoms. The spin magnetization comes out at 0.000 μB/atom. As for the energy of formation: -0.3515 eV per atom. The total DFT energy (no corrections) comes out at -7.544 eV per atom.

=====

Compound: HfNiPt
Source: OQMD via LeMat-Bulk
Functional: PBE
Structure: optimized geometry

```
HfNiPt
1.0
0.000 2.966 2.966
2.966 0.000 2.966
2.966 2.966 0.000
Hf Ni Pt
1 1 1
direct
0.000 0.000 0.000
0.250 0.250 0.250
0.500 0.500 0.500
```

The offset from the most stable computed form comes out at 0.0 kJ per mole of atoms. The spin magnetization comes out at 0.006 μB/atom. As for the energy of formation: -0.5310 eV per atom. The total DFT energy (no corrections) comes out at -7.724 eV per atom.

=====

Compound: HfNiPt2
Source: OQMD via LeMat-Bulk
Functional: PBE
Structure: optimized geometry

```
HfNiPt2
1.0
0.000 3.152 3.152
3.152 0.000 3.152
3.152 3.152 0.000
Hf Ni Pt
1 1 2
direct
0.000 0.000 0.000
0.750 0.750 0.750
0.250 0.250 0.250
0.500 0.500 0.500
```

The spin magnetization comes out at 0.000 μB/atom. As for the energy of formation: -0.6522 eV per atom. The total DFT energy (no corrections) comes out at -7.561 eV per atom.